Material: KNiAgPb2
Method: DFT, PBE
State: optimized geometry

a = 5.9568 Å, b = 5.9568 Å, c = 5.2265 Å
α = 90.00°, β = 90.00°, γ = 90.00°
Space group P4/mmm (No. 123)
One atom of each set of equivalent atoms:
K 0.0000 0.0000 0.0000
Ni 0.5000 0.5000 0.5000
Ag 0.0000 0.0000 0.5000
Pb 0.0000 0.5000 0.0000

Computed properties:
The calculation puts the calculated total energy at -9.327 eV/cell. Its formation energy from the elements is 1.564 eV per atom. The crystal system is tetragonal.